1.
Below is Li2ScNi after structural relaxation, with properties calculated at the GGA-PBE level.

Geometry as POSCAR:
```
Li2ScNi
1.0
-1.817 1.817 10.102
1.817 -1.817 10.102
1.817 1.817 -10.102
Li Sc Ni
4 2 2
Direct
0.087 0.625 0.962
0.375 0.337 0.462
0.663 0.125 0.038
0.875 0.913 0.538
0.250 0.750 0.500
0.500 0.500 0.000
0.000 0.000 0.000
0.750 0.250 0.500
```

Calculated values
Distance to the lowest polymorph of the same formula = 115 meV/atom
Total magnetization = 0.000 μB per atom
DFT formation energy = 0.019 eV/atom

=====

2.
Below is BaHfGe3 after structural relaxation, with properties calculated at the GGA-PBE level.

Geometry as POSCAR:
```
BaHfGe3
1.0
5.224 0.000 0.000
0.000 5.224 0.000
0.000 0.000 5.224
Ba Hf Ge
1 1 3
Direct
0.000 0.000 0.000
0.500 0.500 0.500
0.000 0.500 0.500
0.500 0.000 0.500
0.500 0.500 0.000
```

Calculated values
Distance to the lowest polymorph of the same formula = 0 meV/atom
Total magnetization = 0.000 μB per atom
DFT formation energy = -0.287 eV/atom

=====

Which value of distance to the lowest polymorph of the same formula does entry 2 give? 0 meV/atom

=====

What is the formula in the second record? BaHfGe3